Fe3NiSn after structural relaxation, computed with PBE.

Unit cell a=4.7131 b=4.7131 c=4.7131 alpha=90.00 beta=90.00 gamma=90.00
Each line ends with the local moment (μB).
Sites, in units of the cell vectors:
1 Fe 0.5000 0.0000 0.0000  2.70
2 Ni 0.5000 0.5000 0.5000  0.88
3 Fe 0.0000 0.5000 0.0000  2.82
4 Sn 0.0000 0.0000 0.0000  -0.12
5 Fe 0.0000 0.0000 0.5000  2.96

Properties
- Relative energy among the computed polymorphs: 1009 meV per atom
- M_tot: 9.08 μB per cell
- SG: Pm-3m (221)
- ρ: 5.5 g/cm³
- Volume: 104.69 Å³/cell
- Formation energy: 1.72 eV/atom

***

Fe2Ni2Sn after structural relaxation, computed with PBE.

Unit cell a=6.8193 b=6.8193 c=2.9349 alpha=90.00 beta=90.00 gamma=90.00
Each line ends with the local moment (μB).
Sites, in units of the cell vectors:
1 Ni 0.1274 0.3726 0.0000  0.64
2 Sn 0.0000 0.0000 0.0000  -0.03
3 Ni 0.8726 0.6274 0.0000  0.64
4 Ni 0.3726 0.8726 0.0000  0.65
5 Fe 0.3370 0.1630 0.5000  2.85
6 Fe 0.1630 0.6630 0.5000  2.85
7 Fe 0.8370 0.3370 0.5000  2.85
8 Ni 0.6274 0.1274 0.0000  0.65
9 Fe 0.6630 0.8370 0.5000  2.85
10 Sn 0.5000 0.5000 0.0000  -0.03

Properties
- M_tot: 13.84 μB per cell
- SG: P4/mbm (127)
- ρ: 8.5 g/cm³
- Volume: 136.48 Å³/cell
- Formation energy: 0.11 eV/atom

***

TaFeNiSn after structural relaxation, computed with PBE.

Unit cell a=4.3785 b=4.3785 c=4.3785 alpha=60.00 beta=60.00 gamma=60.00
Each line ends with the local moment (μB).
Sites, in units of the cell vectors:
1 Sn 0.2500 0.2500 0.2500  0.00
2 Fe 0.0000 0.0000 0.0000  1.32
3 Ni 0.5000 0.5000 0.5000  0.20
4 Ta 0.7500 0.7500 0.7500  -0.18

Properties
- M_tot: 1.27 μB per cell
- SG: F-43m (216)
- ρ: 11.6 g/cm³
- Volume: 59.35 Å³/cell
- Formation energy: -0.09 eV/atom

***

TaFe2NiSn after structural relaxation, computed with PBE.

Unit cell a=4.5470 b=5.0234 c=4.5470 alpha=90.00 beta=90.00 gamma=90.00
Each line ends with the local moment (μB).
Sites, in units of the cell vectors:
1 Fe 0.0000 0.0000 0.5000  2.83
2 Ta 0.0000 0.5000 0.0000  -0.10
3 Ni 0.5000 0.5000 0.5000  0.67
4 Fe 0.5000 0.0000 0.0000  2.62
5 Sn 0.0000 0.0000 0.0000  -0.06

Properties
- M_tot: 5.77 μB per cell
- SG: P4/mmm (123)
- ρ: 7.5 g/cm³
- Volume: 103.86 Å³/cell
- Formation energy: 1.92 eV/atom

***

Ta2FeNi7Sn2 after structural relaxation, computed with PBE.

Unit cell a=3.3797 b=3.3797 c=15.2937 alpha=83.68 beta=83.68 gamma=90.00
Each line ends with the local moment (μB).
Sites, in units of the cell vectors:
1 Sn 0.1870 0.1870 0.6247  0.00
2 Ni 0.4379 0.9379 0.1251  0.14
3 Sn 0.8130 0.8130 0.3753  0.00
4 Ni 0.0621 0.5621 0.8749  0.14
5 Ni 0.9379 0.4379 0.1251  0.14
6 Ni 0.5000 0.5000 0.0000  0.59
7 Fe 0.0000 0.0000 0.0000  2.63
8 Ni 0.7254 0.7254 0.5479  0.00
9 Ta 0.6243 0.6243 0.7503  -0.09
10 Ni 0.5621 0.0621 0.8749  0.14
11 Ni 0.2746 0.2746 0.4521  0.00
12 Ta 0.3757 0.3757 0.2497  -0.09

Properties
- M_tot: 3.41 μB per cell
- SG: I4/mmm (139)
- ρ: 10.3 g/cm³
- Volume: 172.56 Å³/cell
- Formation energy: 0.03 eV/atom

***

TiFeNiSn after structural relaxation, computed with PBE.

Unit cell a=4.3317 b=4.3317 c=4.3317 alpha=60.00 beta=60.00 gamma=60.00
Each line ends with the local moment (μB).
Sites, in units of the cell vectors:
1 Sn 0.7500 0.7500 0.7500  0.00
2 Ni 0.5000 0.5000 0.5000  0.40
3 Ti 0.2500 0.2500 0.2500  -0.19
4 Fe 0.0000 0.0000 0.0000  1.49

Properties
- M_tot: 1.67 μB per cell
- SG: F-43m (216)
- ρ: 8.1 g/cm³
- Volume: 57.47 Å³/cell
- Formation energy: -0.30 eV/atom

***

TlFeNi2Sn after structural relaxation, computed with PBE.

Unit cell a=4.7229 b=5.4618 c=4.7229 alpha=90.00 beta=90.00 gamma=90.00
Each line ends with the local moment (μB).
Sites, in units of the cell vectors:
1 Ni 0.0000 0.0000 0.5000  0.17
2 Fe 0.5000 0.5000 0.5000  3.30
3 Ni 0.5000 0.0000 0.0000  0.06
4 Tl 0.0000 0.0000 0.0000  -0.01
5 Sn 0.0000 0.5000 0.0000  -0.03

Properties
- M_tot: 3.57 μB per cell
- SG: P4/mmm (123)
- ρ: 6.8 g/cm³
- Volume: 121.83 Å³/cell
- Formation energy: 1.54 eV/atom

***

ZnFeNiSn after structural relaxation, computed with PBE.

Unit cell a=4.2990 b=4.2990 c=4.2990 alpha=60.00 beta=60.00 gamma=60.00
Each line ends with the local moment (μB).
Sites, in units of the cell vectors:
1 Fe 0.5000 0.5000 0.5000  1.59
2 Zn 0.7500 0.7500 0.7500  -0.03
3 Sn 0.2500 0.2500 0.2500  -0.06
4 Ni 0.0000 0.0000 0.0000  0.08

Properties
- M_tot: 1.56 μB per cell
- SG: F-43m (216)
- ρ: 8.8 g/cm³
- Volume: 56.18 Å³/cell
- Formation energy: 0.02 eV/atom

***

ZrFeNiSn after structural relaxation, computed with PBE.

Unit cell a=4.4764 b=4.4764 c=4.4764 alpha=60.00 beta=60.00 gamma=60.00
Each line ends with the local moment (μB).
Sites, in units of the cell vectors:
1 Ni 0.5000 0.5000 0.5000  0.40
2 Sn 0.2500 0.2500 0.2500  0.00
3 Zr 0.7500 0.7500 0.7500  -0.13
4 Fe 0.0000 0.0000 0.0000  1.45

Properties
- M_tot: 1.70 μB per cell
- SG: F-43m (216)
- ρ: 8.5 g/cm³
- Volume: 63.43 Å³/cell
- Formation energy: -0.30 eV/atom

***

SrFe3Ni after structural relaxation, computed with PBE.

Unit cell a=4.5614 b=4.5614 c=4.5614 alpha=90.00 beta=90.00 gamma=90.00
Each line ends with the local moment (μB).
Sites, in units of the cell vectors:
1 Fe 0.5000 0.0000 0.0000  2.33
2 Ni 0.0000 0.0000 0.0000  0.85
3 Fe 0.0000 0.0000 0.5000  3.38
4 Fe 0.0000 0.5000 0.0000  3.09
5 Sr 0.5000 0.5000 0.5000  -0.08

Properties
- Relative energy among the computed polymorphs: 0 meV per atom
- M_tot: 9.35 μB per cell
- SG: Pm-3m (221)
- ρ: 5.5 g/cm³
- Volume: 94.91 Å³/cell
- Formation energy: 0.68 eV/atom

***

SrFeNi2 after structural relaxation, computed with PBE.

Unit cell a=3.0869 b=3.2536 c=6.8405 alpha=90.00 beta=90.00 gamma=90.00
Each line ends with the local moment (μB).
Sites, in units of the cell vectors:
1 Fe 0.5000 0.5000 0.8452  2.86
2 Ni 0.0000 0.0000 0.9876  0.65
3 Sr 0.0000 0.0000 0.4869  -0.06
4 Ni 0.5000 0.5000 0.1802  0.30

Properties
- M_tot: 3.62 μB per cell
- SG: Pmm2 (25)
- ρ: 6.3 g/cm³
- Volume: 68.70 Å³/cell
- Formation energy: 0.39 eV/atom

***

Sr2FeNi after structural relaxation, computed with PBE.

Unit cell a=5.0912 b=5.0912 c=5.0912 alpha=60.00 beta=60.00 gamma=60.00
Each line ends with the local moment (μB).
Sites, in units of the cell vectors:
1 Fe 0.5000 0.5000 0.5000  2.86
2 Sr 0.2500 0.2500 0.2500  -0.04
3 Sr 0.0000 0.0000 0.0000  -0.07
4 Ni 0.7500 0.7500 0.7500  0.47

Properties
- Relative energy among the computed polymorphs: 500 meV per atom
- M_tot: 2.94 μB per cell
- SG: F-43m (216)
- ρ: 5.2 g/cm³
- Volume: 93.31 Å³/cell
- Formation energy: 0.74 eV/atom